Version 1
LaCd2Ag9 (PBE, relaxed); calculated density = 8.9 g cm⁻³; crystal system = tetragonal; D(E_F) = 0.41 states/eV/atom
1.0
6.853 0.000 3.155
3.427 8.104 1.578
0.038 0.000 8.939
Ag La Cd
18 2 4
direct
0.079 0.328 0.914
0.593 0.086 0.328
0.157 0.172 0.414
0.079 0.914 0.328
0.007 0.914 0.672
0.000 0.000 0.000
0.157 0.414 0.172
0.321 0.086 0.672
0.429 0.828 0.414
0.750 0.500 0.500
0.671 0.586 0.172
0.743 0.586 0.828
0.007 0.672 0.914
0.743 0.828 0.586
0.321 0.672 0.086
0.429 0.414 0.828
0.671 0.172 0.586
0.593 0.328 0.086
0.500 0.000 0.000
0.250 0.500 0.500
0.875 0.250 0.250
0.875 0.750 0.250
0.375 0.750 0.750
0.875 0.250 0.750

=====

Version 2
LaCd2Ag9 (PBE, relaxed); calculated density = 8.9 g cm⁻³; crystal system = trigonal; D(E_F) = 0.52 states/eV/atom
1.0
-0.660 4.924 -2.739
-4.802 1.049 -2.834
-5.389 5.625 5.535
Ag Cd La
9 2 1
direct
0.919 0.411 0.258
0.081 0.589 0.742
0.334 0.334 0.999
0.411 0.411 0.258
0.589 0.081 0.742
0.411 0.919 0.258
0.589 0.589 0.742
0.666 0.666 0.001
0.500 0.500 0.500
0.143 0.143 0.570
0.857 0.857 0.430
0.000 0.000 0.000

=====

Most stable: version 1

=====

Version 1
LaCd2Ag3 (PBE, relaxed); calculated density = 8.3 g cm⁻³; crystal system = hexagonal; D(E_F) = 0.54 states/eV/atom
1.0
-4.526 0.385 -1.805
3.808 -0.462 -3.030
-1.279 -13.169 0.400
Cd Ag La
4 6 2
direct
0.333 0.667 0.913
0.667 0.333 0.087
0.667 0.333 0.413
0.333 0.667 0.587
0.667 0.333 0.866
0.333 0.667 0.366
0.000 0.000 0.000
0.000 0.000 0.500
0.667 0.333 0.634
0.333 0.667 0.134
0.000 0.000 0.750
0.000 0.000 0.250

=====

Version 2
LaCd2Ag3 (PBE, relaxed); calculated density = 8.1 g cm⁻³; crystal system = orthorhombic; D(E_F) = 0.62 states/eV/atom
1.0
5.676 0.000 0.000
0.000 7.021 0.682
0.000 -0.742 7.015
Cd Ag La
4 6 2
direct
0.500 0.750 0.250
0.000 0.750 0.250
0.500 0.250 0.750
0.000 0.250 0.750
0.250 0.952 0.952
0.750 0.048 0.048
0.750 0.439 0.090
0.250 0.561 0.910
0.750 0.090 0.439
0.250 0.910 0.561
0.750 0.721 0.721
0.250 0.279 0.279

=====

Most stable: version 1

=====

Version 1
La4CdAg3 (PBE, relaxed); calculated density = 7.0 g cm⁻³; crystal system = orthorhombic; D(E_F) = 1.09 states/eV/atom
1.0
-3.396 -1.255 -1.486
2.024 -4.467 -0.850
-3.432 -3.632 10.915
Ag Cd La
3 1 4
direct
0.000 0.500 0.574
0.500 0.000 0.924
0.000 0.000 0.428
0.500 0.500 0.073
0.000 0.000 0.152
0.500 0.000 0.643
0.500 0.500 0.360
0.000 0.500 0.847

=====

Version 2
La4CdAg3 (PBE, relaxed); calculated density = 7.2 g cm⁻³; crystal system = orthorhombic; D(E_F) = 1.08 states/eV/atom
1.0
3.855 0.000 0.000
0.000 5.453 0.000
0.000 0.000 10.878
Ag La Cd
3 4 1
direct
0.500 0.500 0.500
0.500 0.000 0.247
0.500 0.000 0.753
0.000 0.500 0.257
0.000 0.000 0.000
0.000 0.500 0.743
0.000 0.000 0.500
0.500 0.500 0.000

=====

Most stable: version 2

=====

Version 1
LaNdCdAg (PBE, relaxed); calculated density = 7.3 g cm⁻³; crystal system = cubic; D(E_F) = 1.04 states/eV/atom
1.0
5.442 0.000 0.000
2.721 4.713 0.000
2.721 1.571 4.443
Cd Nd La Ag
1 1 1 1
direct
0.750 0.750 0.750
0.500 0.500 0.500
0.000 0.000 0.000
0.250 0.250 0.250

=====

Version 2
LaNdCdAg (PBE, relaxed); calculated density = 7.4 g cm⁻³; crystal system = tetragonal; D(E_F) = 0.99 states/eV/atom
1.0
-2.558 2.627 -1.164
-2.402 -2.811 -1.065
-3.145 0.037 6.996
Ag La Cd Nd
1 1 1 1
direct
0.500 0.500 0.118
0.000 0.000 0.864
0.500 0.500 0.598
0.000 0.000 0.348

=====

Most stable: version 2

=====

Version 1
La2CdNiAg (PBE, relaxed); calculated density = 6.5 g cm⁻³; crystal system = tetragonal; D(E_F) = 0.99 states/eV/atom
1.0
-2.631 2.515 3.930
3.410 -2.043 3.590
2.937 3.934 -0.551
Ni La Cd Ag
1 2 1 1
direct
0.000 0.000 0.000
0.500 0.000 0.000
0.000 0.500 0.000
0.000 0.000 0.500
0.500 0.500 0.500

=====

Version 2
La2CdNiAg (PBE, relaxed); calculated density = 6.6 g cm⁻³; crystal system = tetragonal; D(E_F) = 0.95 states/eV/atom
1.0
-5.212 0.900 -0.491
-0.894 -5.235 -0.097
-0.468 -0.012 4.943
Ag La Ni Cd
1 2 1 1
direct
0.000 0.000 0.500
0.500 0.000 0.000
0.000 0.500 0.000
0.000 0.000 0.000
0.500 0.500 0.500

=====

Most stable: version 1

=====

Version 1
LaPrCdAg (PBE, relaxed); calculated density = 7.2 g cm⁻³; crystal system = cubic; D(E_F) = 1.07 states/eV/atom
1.0
5.461 0.000 0.000
2.730 4.729 0.000
2.730 1.576 4.459
La Ag Pr Cd
1 1 1 1
direct
0.000 0.000 0.000
0.250 0.250 0.250
0.500 0.500 0.500
0.750 0.750 0.750

=====

Version 2
LaPrCdAg (PBE, relaxed); calculated density = 7.2 g cm⁻³; crystal system = tetragonal; D(E_F) = 0.99 states/eV/atom
1.0
-1.861 2.209 2.571
-1.100 -3.168 1.926
6.363 0.388 4.272
La Ag Cd Pr
1 1 1 1
direct
0.000 0.000 0.850
0.500 0.500 0.601
0.500 0.500 0.112
0.000 0.000 0.365

=====

Most stable: version 2

=====

Version 1
La2CdAgRu (PBE, relaxed); calculated density = 7.6 g cm⁻³; crystal system = monoclinic; D(E_F) = 0.81 states/eV/atom
1.0
4.189 0.000 0.000
0.000 8.274 0.444
0.000 -2.985 7.386
La Cd Ag Ru
4 2 2 2
direct
0.250 0.268 0.971
0.750 0.887 0.655
0.750 0.732 0.029
0.250 0.113 0.345
0.250 0.549 0.653
0.750 0.451 0.347
0.250 0.691 0.331
0.750 0.309 0.669
0.750 0.121 0.105
0.250 0.879 0.895

=====

Version 2
La2CdAgRu (PBE, relaxed); calculated density = 6.6 g cm⁻³; crystal system = tetragonal; D(E_F) = 0.80 states/eV/atom
1.0
5.331 0.000 0.000
0.000 5.331 0.000
0.000 0.000 5.301
Cd La Ru Ag
1 2 1 1
direct
0.000 0.000 0.500
0.000 0.500 0.000
0.500 0.000 0.000
0.000 0.000 0.000
0.500 0.500 0.500

=====

Version 3
La2CdAgRu (PBE, relaxed); calculated density = 6.7 g cm⁻³; crystal system = tetragonal; D(E_F) = 0.64 states/eV/atom
1.0
-1.944 1.299 -4.736
2.861 -3.840 -2.228
-4.020 -3.411 0.715
La Ru Cd Ag
2 1 1 1
direct
0.000 0.500 0.000
0.500 0.000 0.000
0.000 0.000 0.000
0.500 0.500 0.500
0.000 0.000 0.500

=====

Most stable: version 1

=====

Version 1
LaSmCdAg (PBE, relaxed); calculated density = 7.6 g cm⁻³; crystal system = tetragonal; D(E_F) = 0.98 states/eV/atom
1.0
3.813 0.000 0.000
0.000 3.813 0.000
0.000 0.000 7.678
La Sm Cd Ag
1 1 1 1
direct
0.500 0.500 0.113
0.500 0.500 0.597
0.000 0.000 0.842
0.000 0.000 0.376

=====

Version 2
LaSmCdAg (PBE, relaxed); calculated density = 7.5 g cm⁻³; crystal system = cubic; D(E_F) = 0.97 states/eV/atom
1.0
-0.645 -4.916 2.172
4.250 -3.313 0.510
2.018 -1.078 4.905
Sm Cd La Ag
1 1 1 1
direct
0.500 0.500 0.500
0.750 0.750 0.750
0.000 0.000 0.000
0.250 0.250 0.250

=====

Most stable: version 1

=====

Version 1
LaTbCdAg (PBE, relaxed); calculated density = 7.8 g cm⁻³; crystal system = cubic; D(E_F) = 0.80 states/eV/atom
1.0
-1.431 1.760 -4.871
-4.981 -0.873 -1.815
-3.444 4.097 -0.472
La Ag Cd Tb
1 1 1 1
direct
0.500 0.500 0.500
0.250 0.250 0.250
0.750 0.750 0.750
0.000 0.000 0.000

=====

Version 2
LaTbCdAg (PBE, relaxed); calculated density = 7.9 g cm⁻³; crystal system = tetragonal; D(E_F) = 0.97 states/eV/atom
1.0
3.761 0.000 0.000
0.000 3.761 0.000
0.000 0.000 7.704
Ag Tb La Cd
1 1 1 1
direct
0.000 0.000 0.384
0.500 0.500 0.595
0.500 0.500 0.112
0.000 0.000 0.836

=====

Most stable: version 2

=====

Version 1
LaTmCdAg (PBE, relaxed); calculated density = 8.3 g cm⁻³; crystal system = tetragonal; D(E_F) = 1.07 states/eV/atom
1.0
-1.362 3.419 0.438
-3.431 -1.300 -0.522
-0.683 -1.245 7.594
Ag Tm La Cd
1 1 1 1
direct
0.000 0.000 0.391
0.500 0.500 0.594
0.500 0.500 0.112
0.000 0.000 0.831

=====

Version 2
LaTmCdAg (PBE, relaxed); calculated density = 8.2 g cm⁻³; crystal system = cubic; D(E_F) = 0.70 states/eV/atom
1.0
-3.049 1.512 -4.106
-3.358 -3.478 -2.250
-5.262 0.569 0.654
Cd Tm Ag La
1 1 1 1
direct
0.250 0.250 0.250
0.500 0.500 0.500
0.750 0.750 0.750
0.000 0.000 0.000

=====

Most stable: version 1

=====

Version 1
Li3CdAg3 (PBE, relaxed); calculated density = 6.0 g cm⁻³; crystal system = orthorhombic; D(E_F) = 0.34 states/eV/atom
1.0
4.659 -4.335 0.000
4.659 4.335 0.000
0.000 0.000 6.262
Li Cd Ag
6 2 6
direct
0.757 0.757 0.000
0.253 0.253 0.500
0.730 0.270 0.500
0.270 0.730 0.500
0.243 0.243 0.000
0.747 0.747 0.500
0.301 0.699 0.000
0.699 0.301 0.000
0.000 0.500 0.738
0.500 0.000 0.738
0.000 0.500 0.262
0.000 0.000 0.257
0.500 0.000 0.262
0.000 0.000 0.743

=====

Version 2
Li3CdAg3 (PBE, relaxed); calculated density = 6.1 g cm⁻³; crystal system = trigonal; D(E_F) = 0.45 states/eV/atom
1.0
-5.728 -0.206 -4.177
-0.540 -4.966 -5.035
-4.680 -5.220 0.655
Ag Li Cd
6 6 2
direct
0.054 0.562 0.646
0.562 0.738 0.646
0.738 0.054 0.646
0.262 0.946 0.354
0.438 0.262 0.354
0.946 0.438 0.354
0.915 0.188 0.187
0.812 0.290 0.813
0.710 0.915 0.187
0.290 0.085 0.813
0.085 0.812 0.813
0.188 0.710 0.187
0.356 0.356 0.933
0.644 0.644 0.067

=====

Most stable: version 1

=====

Version 1
Li3CdAg (PBE, relaxed); calculated density = 3.5 g cm⁻³; crystal system = cubic; D(E_F) = 0.47 states/eV/atom
1.0
4.869 0.000 0.000
0.000 4.869 0.000
0.000 0.000 4.869
Cd Li Ag
1 3 1
direct
0.500 0.500 0.500
0.000 0.500 0.000
0.000 0.000 0.500
0.500 0.000 0.000
0.000 0.000 0.000

=====

Version 2
Li3CdAg (PBE, relaxed); calculated density = 4.6 g cm⁻³; crystal system = monoclinic; D(E_F) = 0.36 states/eV/atom
1.0
4.034 0.000 0.000
-2.017 4.625 0.181
0.000 -0.302 9.412
Li Ag Cd
6 2 2
direct
0.945 0.889 0.139
0.152 0.303 0.549
0.848 0.697 0.451
0.244 0.487 0.233
0.055 0.111 0.861
0.756 0.513 0.767
0.648 0.296 0.051
0.352 0.704 0.949
0.547 0.095 0.347
0.453 0.905 0.653

=====

Most stable: version 2